Record 1
DFT (SCAN) results for a crystal of Be2TePt relaxed with PBEsol.

Calculated values
space-group type = I4/mmm

abc: 3.9502 3.9502 4.6360
angles: 115.22 115.22 90.00
Atoms (fractional coordinates):
Be: 0.7500 0.2500 0.5000
Be: 0.2500 0.7500 0.5000
Te: 0.0000 0.0000 0.0000
Pt: 0.5000 0.5000 0.0000

---

Record 2
DFT (SCAN) results for a crystal of Be3TePt relaxed with PBEsol.

Calculated values
space-group type = Pm-3m

abc: 4.3395 4.3395 4.3395
angles: 90.00 90.00 90.00
Atoms (fractional coordinates):
Be: 0.0000 0.5000 0.0000
Be: 0.0000 0.0000 0.5000
Be: 0.5000 0.0000 0.0000
Te: 0.5000 0.5000 0.5000
Pt: 0.0000 0.0000 0.0000

---

ΔE_f (raw)
In order: 0.124, 0.135
Unit: eV/atom
DOS(E_F)
In order: 1.03, 1.89
Unit: states/eV per cell
Density
In order: 9.8, 7.1
Unit: Mg/m³